(1)
CuPPd2 | PBE | optimized geometry

Values from the calculation:
Symmetry = No. 11
Formation enthalpy at 0 K = -28.1 kJ per mole of atoms

Cell: 3.096 5.280 7.207 Å, 90.00 90.00 106.85°
Sites, in units of the cell vectors:
1 Pd 0.366 0.731 0.552
2 Pd 0.366 0.731 0.948
3 Pd 0.634 0.269 0.448
4 Pd 0.634 0.269 0.052
5 P 0.740 0.477 0.750
6 P 0.260 0.523 0.250
7 Cu 0.954 0.910 0.250
8 Cu 0.046 0.090 0.750

---

(2)
BaGaICl4 | PBE | optimized geometry

Values from the calculation:
Symmetry = No. 12
Formation energy from raw total energies = -10.78 eV per formula unit

Cell: 8.078 8.078 8.849 Å, 79.23 79.23 75.94°
Sites, in units of the cell vectors:
1 Cl 0.250 0.250 0.487
2 Cl 0.750 0.750 0.513
3 Cl 0.493 0.837 0.886
4 Cl 0.507 0.163 0.114
5 Cl 0.532 0.532 0.285
6 Cl 0.837 0.493 0.886
7 Cl 0.468 0.468 0.715
8 Cl 0.163 0.507 0.114
9 Ga 0.635 0.635 0.738
10 Ga 0.365 0.365 0.262
11 I 0.029 0.029 0.230
12 I 0.971 0.971 0.770
13 Ba 0.205 0.205 0.881
14 Ba 0.795 0.795 0.119

---

(3)
Ba2Ga6RuRh | PBE | optimized geometry

Values from the calculation:
Symmetry = No. 12
Formation enthalpy at 0 K = -48.1 kJ per mole of atoms

Cell: 6.883 6.877 6.890 Å, 60.05 59.91 89.83°
Sites, in units of the cell vectors:
1 Ba 0.279 0.720 0.502
2 Ba 0.721 0.280 0.498
3 Ga 0.220 0.218 0.062
4 Ga 0.780 0.782 0.938
5 Ga 0.782 0.781 0.499
6 Ga 0.750 0.249 0.999
7 Ga 0.218 0.219 0.501
8 Ga 0.250 0.751 0.001
9 Rh 0.500 0.500 0.000
10 Ru 0.000 0.000 0.000

---

(4)
SiPS2Cl | PBE | optimized geometry

Values from the calculation:
Symmetry = No. 123
Excess energy over the best structure of this formula in the dataset = 40 meV per atom
Formation energy from raw total energies = 2.59 eV per formula unit

Cell: 4.589 4.589 4.427 Å, 90.00 90.00 90.00°
Sites, in units of the cell vectors:
1 Cl 0.000 0.000 0.500
2 S 0.000 0.500 0.000
3 S 0.500 0.000 0.000
4 Si 0.000 0.000 0.000
5 P 0.500 0.500 0.500

---

(5)
MgScZn2As | PBE | optimized geometry

Values from the calculation:
Symmetry = No. 123
Formation enthalpy at 0 K = 10.3 kJ per mole of atoms

Cell: 4.872 5.033 4.872 Å, 90.00 90.00 90.00°
Sites, in units of the cell vectors:
1 Zn 0.500 0.000 0.000
2 Zn 0.000 0.000 0.500
3 As 0.000 0.000 0.000
4 Sc 0.000 0.500 0.000
5 Mg 0.500 0.500 0.500

---

(6)
Co2PbBr | PBE | optimized geometry

Values from the calculation:
Symmetry = No. 166
Excess energy over the best structure of this formula in the dataset = 317 meV per atom
Formation energy from raw total energies = 2.33 eV per formula unit

Cell: 7.712 7.712 7.712 Å, 25.22 25.22 25.22°
Sites, in units of the cell vectors:
1 Co 0.495 0.495 0.495
2 Co 0.005 0.005 0.005
3 Br 0.750 0.750 0.750
4 Pb 0.250 0.250 0.250

---

(7)
CaSbOs2 | PBE | optimized geometry

Values from the calculation:
Symmetry = No. 71
Formation energy from raw total energies = 2.53 eV per formula unit

Cell: 5.563 5.563 5.563 Å, 146.72 126.86 64.16°
Sites, in units of the cell vectors:
1 Sb 0.250 0.750 0.500
2 Os 0.476 0.476 0.000
3 Os 0.024 0.024 0.000
4 Ca 0.750 0.250 0.500

---

(8)
FeCoRe | PBE | optimized geometry

Values from the calculation:
Symmetry = No. 156
Excess energy over the best structure of this formula in the dataset = 0 meV per atom
Formation enthalpy at 0 K = 4.4 kJ per mole of atoms

Cell: 4.070 4.070 2.551 Å, 90.00 90.00 120.00°
Sites, in units of the cell vectors:
1 Fe 0.667 0.333 0.168
2 Re 0.333 0.667 0.666
3 Co 0.000 0.000 0.166

---

(9)
TaSiIr2 | PBE | optimized geometry

Values from the calculation:
Symmetry = No. 6
Formation energy from raw total energies = -1.81 eV per formula unit

Cell: 4.059 2.853 5.415 Å, 74.61 90.00 90.00°
Sites, in units of the cell vectors:
1 Ir 0.000 0.069 0.985
2 Ir 0.500 0.426 0.271
3 Si 0.000 0.313 0.503
4 Ta 0.500 0.692 0.741

---

(10)
Ho3Al5Zn6 | PBE | optimized geometry

Values from the calculation:
Symmetry = No. 59
Formation enthalpy at 0 K = -36.8 kJ per mole of atoms

Cell: 4.242 9.730 12.406 Å, 90.00 90.00 90.00°
Sites, in units of the cell vectors:
1 Al 0.000 0.886 0.341
2 Al 0.000 0.886 0.659
3 Al 0.500 0.114 0.841
4 Al 0.500 0.478 0.354
5 Al 0.500 0.114 0.159
6 Al 0.500 0.255 0.500
7 Al 0.000 0.522 0.146
8 Al 0.000 0.745 0.000
9 Al 0.000 0.522 0.854
10 Al 0.500 0.478 0.646
11 Zn 0.000 0.969 0.863
12 Zn 0.500 0.031 0.637
13 Zn 0.000 0.054 0.500
14 Zn 0.000 0.453 0.500
15 Zn 0.000 0.627 0.345
16 Zn 0.500 0.031 0.363
17 Zn 0.000 0.627 0.655
18 Zn 0.500 0.373 0.155
19 Zn 0.500 0.373 0.845
20 Zn 0.500 0.946 0.000
21 Zn 0.500 0.547 0.000
22 Zn 0.000 0.969 0.137
23 Ho 0.000 0.249 0.307
24 Ho 0.500 0.751 0.807
25 Ho 0.500 0.752 0.500
26 Ho 0.000 0.249 0.693
27 Ho 0.500 0.751 0.193
28 Ho 0.000 0.248 0.000

---

(11)
In2SnS3 | PBE | optimized geometry

Values from the calculation:
Symmetry = No. 11
Formation energy from raw total energies = -2.26 eV per formula unit

Cell: 3.982 7.786 12.159 Å, 72.93 90.00 90.00°
Sites, in units of the cell vectors:
1 S 0.750 0.657 0.883
2 S 0.250 0.378 0.411
3 S 0.750 0.784 0.202
4 S 0.750 0.622 0.589
5 S 0.250 0.343 0.117
6 S 0.250 0.216 0.798
7 Sn 0.750 0.280 0.638
8 Sn 0.250 0.720 0.362
9 In 0.250 0.448 0.893
10 In 0.250 0.855 0.604
11 In 0.750 0.552 0.107
12 In 0.750 0.145 0.396

---

(12)
Ti3CdSe | PBE | optimized geometry

Values from the calculation:
Symmetry = No. 221
Excess energy over the best structure of this formula in the dataset = 1035 meV per atom
Formation energy from raw total energies = 5.19 eV per formula unit

Cell: 5.017 5.017 5.017 Å, 90.00 90.00 90.00°
Sites, in units of the cell vectors:
1 Ti 0.000 0.500 0.000
2 Ti 0.000 0.000 0.500
3 Ti 0.500 0.000 0.000
4 Cd 0.000 0.000 0.000
5 Se 0.500 0.500 0.500